Entry 1:
Below is a geometry-optimized LiHgBrO4 structure, with properties calculated at the PBE level.

Geometry as POSCAR:
```
LiHgBrO4
1.0
6.8456 0.0000 0.0000
3.4228 5.5737 -0.2674
3.4228 1.4433 5.3902
Li Hg Br O
2 2 2 8
direct
0.0000 0.0000 0.0000
0.0000 0.5000 0.5000
0.5000 0.0000 0.5000
0.0000 0.0000 0.5000
0.6942 0.5558 0.0558
0.3058 0.4442 0.9442
0.7814 0.7531 0.6842
0.2186 0.8158 0.7469
0.7814 0.1842 0.2531
0.2186 0.2469 0.3158
0.3813 0.6741 0.1741
0.7704 0.6741 0.1741
0.2296 0.3259 0.8259
0.6187 0.3259 0.8259
```

Summary:
- ρ (g cm⁻³) = 5.60
- space group = No. 74


Entry 2:
Below is a geometry-optimized LiHgBrO2 structure, with properties calculated at the PBE level.

Geometry as POSCAR:
```
LiHgBrO2
1.0
4.1209 0.0000 0.0000
0.0000 6.5522 0.0000
0.0000 0.0000 4.1209
O Hg Br Li
2 1 1 1
direct
0.0000 0.0000 0.5000
0.5000 0.0000 0.0000
0.0000 0.0000 0.0000
0.0000 0.5000 0.0000
0.5000 0.5000 0.5000
```

Summary:
- ρ (g cm⁻³) = 4.77
- space group = No. 123


Number 1: total DFT energy (no corrections) -51.6 eV/cell. Number 2: total DFT energy (no corrections) -14.5 eV/cell.